1.
Entry from the Alexandria database: a relaxed ZrSnPt2 crystal (PBE).

abc: 4.100 4.244 4.244
angles: 90.00 90.00 90.00
Element x y z (fractional)
Zr (0.500, 0.500, 0.500)
Sn (0.500, 0.000, 0.000)
Pt (0.000, 0.000, 0.500)
Pt (0.000, 0.500, 0.000)

Output
The formation energy is -2.70 eV/f.u. Its total DFT energy (no corrections) is -6.832 eV/atom.

***

2.
Entry from the Alexandria database: a relaxed FeNi3Rh3 crystal (PBE).

abc: 5.488 5.488 7.824
angles: 69.47 69.47 60.00
Element x y z (fractional)
Fe (0.294, 0.294, 0.119)
Fe (0.706, 0.706, 0.881)
Ni (0.579, 0.759, 0.587)
Ni (0.759, 0.074, 0.587)
Ni (0.074, 0.579, 0.587)
Ni (0.926, 0.421, 0.413)
Ni (0.241, 0.926, 0.413)
Ni (0.421, 0.241, 0.413)
Rh (0.277, 0.743, 0.158)
Rh (0.821, 0.277, 0.158)
Rh (0.743, 0.821, 0.158)
Rh (0.257, 0.179, 0.842)
Rh (0.179, 0.723, 0.842)
Rh (0.723, 0.257, 0.842)

Output
The formation energy is 1.51 eV/f.u. Its total DFT energy (no corrections) is -6.621 eV/atom. The energy above the most stable polymorph in this dataset comes out at 10 meV per atom.

***

3.
Entry from the Alexandria database: a relaxed Er2Be15Cu2 crystal (PBE).

abc: 5.888 5.888 5.888
angles: 82.84 82.84 82.84
Element x y z (fractional)
Er (0.343, 0.343, 0.343)
Er (0.657, 0.657, 0.657)
Be (0.500, 0.000, 0.000)
Be (0.000, 0.000, 0.500)
Be (0.000, 0.500, 0.000)
Be (0.000, 0.720, 0.280)
Be (0.720, 0.280, 0.000)
Be (0.280, 0.000, 0.720)
Be (0.280, 0.720, 0.000)
Be (0.720, 0.000, 0.280)
Be (0.000, 0.280, 0.720)
Be (0.157, 0.663, 0.663)
Be (0.663, 0.663, 0.157)
Be (0.663, 0.157, 0.663)
Be (0.843, 0.337, 0.337)
Be (0.337, 0.337, 0.843)
Be (0.337, 0.843, 0.337)
Cu (0.104, 0.104, 0.104)
Cu (0.896, 0.896, 0.896)

Output
The formation energy is -2.86 eV/f.u. Its total DFT energy (no corrections) is -4.003 eV/atom.